! SrLi2Sn2 | the Alexandria database | PBE-GGA | relaxed; values from VASP
! Space group = I4/mmm, No. 139
! Distance to the lowest polymorph of the same formula = 0.000 eV per atom
! E_form = -0.47 eV/atom
! Final energy = -3.17 eV per atom
&SYSTEM
  ibrav = 0, nat = 5, ntyp = 3
/
ATOMIC_SPECIES
Sr 87.62 Sr.upf
Sn 118.71 Sn.upf
Li 6.94 Li.upf
ATOMIC_POSITIONS crystal
Sr 0.000 0.000 0.000
Sn 0.386 0.386 0.228
Sn 0.614 0.614 0.772
Li 0.750 0.250 0.500
Li 0.250 0.750 0.500
CELL_PARAMETERS angstrom
-4.032 0.048 2.235
1.951 -2.174 3.566
0.421 4.383 5.420

=====

! Y4PbBr | the Alexandria database | PBE-GGA | relaxed; values from VASP
! Space group = F-43m, No. 216
! Raw formation energy = 0.11 eV per atom
! Final energy = -5.10 eV per atom
&SYSTEM
  ibrav = 0, nat = 6, ntyp = 3
/
ATOMIC_SPECIES
Y 88.91 Y.upf
Pb 207.20 Pb.upf
Br 79.90 Br.upf
ATOMIC_POSITIONS crystal
Y 0.880 0.373 0.373
Y 0.373 0.373 0.880
Y 0.373 0.880 0.373
Y 0.373 0.373 0.373
Pb 0.000 0.000 0.000
Br 0.750 0.750 0.750
CELL_PARAMETERS angstrom
0.000 4.552 4.552
4.552 0.000 4.552
4.552 4.552 0.000

=====

! PrAgSb2 | the Alexandria database | PBE-GGA | relaxed; values from VASP
! Space group = P4/nmm, No. 129
! Raw formation energy = -0.68 eV per atom
! Final energy = -4.65 eV per atom
&SYSTEM
  ibrav = 0, nat = 8, ntyp = 3
/
ATOMIC_SPECIES
Pr 140.91 Pr.upf
Sb 121.76 Sb.upf
Ag 107.87 Ag.upf
ATOMIC_POSITIONS crystal
Pr 0.750 0.750 0.263
Pr 0.250 0.250 0.737
Sb 0.750 0.750 0.825
Sb 0.250 0.250 0.175
Sb 0.750 0.250 0.500
Sb 0.250 0.750 0.500
Ag 0.750 0.250 0.000
Ag 0.250 0.750 0.000
CELL_PARAMETERS angstrom
4.427 0.000 0.000
0.000 4.427 0.000
0.000 0.000 10.724

=====

! Fe5NiRh2 | the Alexandria database | PBE-GGA | relaxed; values from VASP
! Space group = I4/mmm, No. 139
! E_form = -0.01 eV/atom
! Final energy = -7.86 eV per atom
&SYSTEM
  ibrav = 0, nat = 8, ntyp = 3
/
ATOMIC_SPECIES
Fe 55.84 Fe.upf
Ni 58.69 Ni.upf
Rh 102.91 Rh.upf
ATOMIC_POSITIONS crystal
Fe 0.500 0.500 0.000
Fe 0.882 0.382 0.765
Fe 0.382 0.882 0.765
Fe 0.118 0.618 0.235
Fe 0.618 0.118 0.235
Ni 0.000 0.000 0.000
Rh 0.752 0.752 0.503
Rh 0.248 0.248 0.497
CELL_PARAMETERS angstrom
-1.963 -2.965 -2.197
1.192 -2.865 2.801
-4.475 3.873 2.748

=====

! Ba2CaTlO4 | the Alexandria database | PBE-GGA | relaxed; values from VASP
! Space group = Imma, No. 74
! Raw formation energy = -2.02 eV per atom
! Final energy = -5.53 eV per atom
&SYSTEM
  ibrav = 0, nat = 16, ntyp = 4
/
ATOMIC_SPECIES
Ba 137.33 Ba.upf
Ca 40.08 Ca.upf
Tl 204.38 Tl.upf
O 16.00 O.upf
ATOMIC_POSITIONS crystal
Ba 0.500 0.000 0.000
Ba 0.500 0.000 0.500
Ba 0.000 0.000 0.500
Ba 0.500 0.500 0.000
Ca 0.500 0.500 0.500
Ca 0.000 0.000 0.000
Tl 0.000 0.500 0.000
Tl 0.000 0.500 0.500
O 0.234 0.757 0.996
O 0.743 0.266 0.504
O 0.257 0.734 0.496
O 0.766 0.243 0.004
O 0.748 0.752 0.979
O 0.748 0.752 0.521
O 0.252 0.248 0.479
O 0.252 0.248 0.021
CELL_PARAMETERS angstrom
7.535 -0.022 -0.084
-0.028 7.535 -0.084
-3.781 -3.784 5.396

=====

! Pm7PrDy4 | the Alexandria database | PBE-GGA | relaxed; values from VASP
! Space group = C2/m, No. 12
! Distance to the lowest polymorph of the same formula = 0.203 eV per atom
! E_form = 0.20 eV/atom
! Final energy = -4.50 eV per atom
&SYSTEM
  ibrav = 0, nat = 12, ntyp = 3
/
ATOMIC_SPECIES
Pm 145.00 Pm.upf
Pr 140.91 Pr.upf
Dy 162.50 Dy.upf
ATOMIC_POSITIONS crystal
Pm 0.785 0.883 0.547
Pm 0.215 0.117 0.453
Pm 0.085 0.550 0.280
Pm 0.915 0.450 0.720
Pm 0.212 0.763 0.813
Pm 0.500 0.000 0.000
Pm 0.788 0.237 0.187
Pr 0.000 0.000 0.000
Dy 0.572 0.302 0.555
Dy 0.428 0.698 0.445
Dy 0.670 0.616 0.043
Dy 0.330 0.384 0.957
CELL_PARAMETERS angstrom
-0.991 3.360 -4.882
-7.084 6.384 2.134
2.167 8.207 1.510

=====

! Hf3Mn2S8 | the Alexandria database | PBE-GGA | relaxed; values from VASP
! Space group = C2/m, No. 12
! Raw formation energy = -1.23 eV per atom
! Final energy = -7.48 eV per atom
&SYSTEM
  ibrav = 0, nat = 13, ntyp = 3
/
ATOMIC_SPECIES
Hf 178.49 Hf.upf
Mn 54.94 Mn.upf
S 32.06 S.upf
ATOMIC_POSITIONS crystal
Hf 0.500 0.000 0.000
Hf 0.000 0.253 0.000
Hf 0.000 0.747 0.000
Mn 0.566 0.719 0.439
Mn 0.434 0.281 0.561
S 0.129 0.381 0.762
S 0.871 0.619 0.238
S 0.149 0.882 0.764
S 0.851 0.118 0.236
S 0.353 0.887 0.254
S 0.353 0.366 0.254
S 0.647 0.634 0.746
S 0.647 0.113 0.746
CELL_PARAMETERS angstrom
-5.881 0.641 -2.458
-2.092 -6.075 3.422
0.000 6.209 3.280

=====

! Sm4CuHg | the Alexandria database | PBE-GGA | relaxed; values from VASP
! Space group = P2_1/c, No. 14
! Distance to the lowest polymorph of the same formula = 0.157 eV per atom
! E_form = -0.03 eV/atom
! Final energy = -3.91 eV per atom
&SYSTEM
  ibrav = 0, nat = 12, ntyp = 3
/
ATOMIC_SPECIES
Sm 150.36 Sm.upf
Cu 63.55 Cu.upf
Hg 200.59 Hg.upf
ATOMIC_POSITIONS crystal
Sm 0.916 0.651 0.160
Sm 0.584 0.151 0.840
Sm 0.330 0.333 0.352
Sm 0.170 0.833 0.648
Sm 0.084 0.349 0.840
Sm 0.416 0.849 0.160
Sm 0.670 0.667 0.648
Sm 0.830 0.167 0.352
Cu 0.500 0.000 0.500
Cu 0.000 0.500 0.500
Hg 0.000 0.000 0.000
Hg 0.500 0.500 0.000
CELL_PARAMETERS angstrom
-6.200 -0.761 -2.495
0.088 -7.551 2.085
-1.898 1.796 6.586

=====

! Pr8Os3Br3F | the Alexandria database | PBE-GGA | relaxed; values from VASP
! Space group = C2/m, No. 12
! Raw formation energy = -0.79 eV per atom
! Final energy = -6.04 eV per atom
&SYSTEM
  ibrav = 0, nat = 15, ntyp = 4
/
ATOMIC_SPECIES
Pr 140.91 Pr.upf
Os 190.23 Os.upf
Br 79.90 Br.upf
F 19.00 F.upf
ATOMIC_POSITIONS crystal
Pr 0.266 0.532 0.298
Pr 0.734 0.468 0.702
Pr 0.760 0.520 0.300
Pr 0.240 0.480 0.700
Pr 0.760 0.040 0.301
Pr 0.240 0.960 0.699
Pr 0.280 0.040 0.301
Pr 0.720 0.960 0.699
Os 0.500 0.000 0.500
Os 0.500 0.500 0.500
Os 0.000 0.500 0.500
Br 0.000 0.000 0.000
Br 0.000 0.500 0.000
Br 0.500 0.500 0.000
F 0.000 0.000 0.500
CELL_PARAMETERS angstrom
-7.525 3.293 1.445
0.664 -7.898 -2.619
2.421 1.782 8.550

=====

! KTi3O6 | the Alexandria database | PBE-GGA | relaxed; values from VASP
! Space group = P2_1/m, No. 11
! Raw formation energy = -2.80 eV per atom
! Final energy = -8.25 eV per atom
&SYSTEM
  ibrav = 0, nat = 20, ntyp = 3
/
ATOMIC_SPECIES
K 39.10 K.upf
Ti 47.87 Ti.upf
O 16.00 O.upf
ATOMIC_POSITIONS crystal
K 0.750 0.622 0.881
K 0.250 0.378 0.119
Ti 0.750 0.346 0.469
Ti 0.250 0.654 0.531
Ti 0.750 0.767 0.272
Ti 0.250 0.233 0.728
Ti 0.750 0.957 0.848
Ti 0.250 0.043 0.152
O 0.750 0.209 0.576
O 0.250 0.791 0.424
O 0.750 0.120 0.057
O 0.250 0.880 0.943
O 0.750 0.760 0.672
O 0.250 0.240 0.328
O 0.750 0.527 0.396
O 0.250 0.473 0.604
O 0.750 0.336 0.856
O 0.250 0.664 0.144
O 0.750 0.942 0.230
O 0.250 0.058 0.770
CELL_PARAMETERS angstrom
2.960 0.000 0.000
0.000 8.904 -3.363
0.000 -0.215 9.508

=====

! RbNiSe | the Alexandria database | PBE-GGA | relaxed; values from VASP
! Space group = P-6m2, No. 187
! Raw formation energy = -0.52 eV per atom
! Final energy = -3.93 eV per atom
&SYSTEM
  ibrav = 0, nat = 3, ntyp = 3
/
ATOMIC_SPECIES
Ni 58.69 Ni.upf
Se 78.96 Se.upf
Rb 85.47 Rb.upf
ATOMIC_POSITIONS crystal
Ni 0.167 0.333 0.667
Se 0.167 0.000 0.000
Rb 0.667 0.667 0.333
CELL_PARAMETERS angstrom
-3.777 -2.530 -3.011
1.078 -3.537 1.620
-2.881 2.224 1.745

=====

Question: The highest final energy belongs to which entry?
Answer: SrLi2Sn2

=====

Question: Look up the final energy of the first one.
Answer: -3.17 eV per atom

=====

Question: final energy of number 6 (Pm7PrDy4)?
Answer: -4.50 eV per atom

=====

Question: Look up the final energy of the fifth one.
Answer: -5.53 eV per atom